1.
A plane-wave DFT calculation with PBE was carried out for a relaxed structure of Te2WC.

The space group is I-42d (No. 122) and the conventional cell measures 5.774, 5.774 and 10.672 Å, with angles of 90.00, 90.00 and 90.00 degrees. The inequivalent atoms are Te at (0.204, 0.250, 0.125), W at (0.000, 0.000, 0.500) and C at (0.000, 0.000, 0.000).

As for the crystal system: tetragonal. For the formation energy (no corrections), the calculation gives 1.4768 eV/atom.

2.
A plane-wave DFT calculation with PBE was carried out for a relaxed structure of KNi3Au.

The space group is Pm-3m (No. 221) and the conventional cell measures 4.847, 4.847 and 4.847 Å, with angles of 90.00, 90.00 and 90.00 degrees. The inequivalent atoms are K at (0.000, 0.000, 0.000), Ni at (0.000, 0.500, 0.500) and Au at (0.500, 0.500, 0.500).

The formation energy is 0.937 eV per atom. As for the crystal system: cubic. Its energy relative to the lowest polymorph listed for this composition is 0.00 eV per formula unit.

3.
A plane-wave DFT calculation with PBE was carried out for a relaxed structure of RbPaSiO6.

The space group is P312 (No. 149) and the conventional cell measures 5.3141, 5.3141 and 6.3774 Å, with angles of 90.00, 90.00 and 120.00 degrees. The inequivalent atoms are Rb at (0.0000, 0.0000, 0.0000), Pa at (0.6667, 0.3333, 0.5000), Si at (0.3333, 0.6667, 0.5000) and O at (0.0473, 0.4047, 0.3341).

As for the crystal system: trigonal. For the formation energy (no corrections), the calculation gives -2.2973 eV/atom.

4.
A plane-wave DFT calculation with PBE was carried out for a relaxed structure of YTaOs2.

The space group is P2/m (No. 10) and the conventional cell measures 2.978, 4.232 and 6.016 Å, with angles of 90.00, 103.32 and 90.00 degrees. The inequivalent atoms are Y at (0.000, 0.000, 0.000), Ta at (0.500, 0.000, 0.500) and Os at (0.303, 0.500, 0.708).

The formation energy is 0.094 eV per atom. As for the crystal system: monoclinic.

Number 1: E_tot -90.21 eV per cell. Number 2: E_tot -17.04 eV per cell. Number 3: E_tot -66.31 eV per cell. Number 4: E_tot -40.40 eV per cell.